1.
VASP calculation (PBE) on crystalline Mg5P3 at its relaxed geometry.

Unit cell a=7.5765 b=7.5765 c=7.4748 alpha=98.63 beta=98.63 gamma=130.16
Fractional coordinates of all 16 atoms:
1 Mg 0.0000 0.0000 0.0000
2 Mg 0.9999 0.7906 0.3448
3 Mg 0.1431 0.5179 0.1875
4 Mg 0.2087 0.8416 0.7593
5 Mg 0.3492 0.5706 0.6027
6 Mg 0.5124 0.5124 0.9949
7 Mg 0.5179 0.1431 0.1875
8 Mg 0.5706 0.3492 0.6027
9 Mg 0.7906 0.9999 0.3448
10 Mg 0.8416 0.2087 0.7593
11 P 0.1315 0.1315 0.6958
12 P 0.3931 0.3931 0.2898
13 P 0.4461 0.9364 0.4621
14 P 0.5808 0.8958 0.9536
15 P 0.8958 0.5808 0.9536
16 P 0.9364 0.4461 0.4621

Results
DFT total energy = -0.1273 Ha/atom
energy of formation = -0.4393 eV per atom
magnetic moment = 0.000 μB/atom

2.
VASP calculation (PBE) on crystalline BiTe2RhN at its relaxed geometry.

Unit cell a=5.8599 b=5.8599 c=4.1826 alpha=90.00 beta=90.00 gamma=90.00
Fractional coordinates of all 5 atoms:
1 Bi 0.0000 0.0000 0.0000
2 Te 0.0000 0.5000 0.0000
3 Te 0.5000 0.0000 0.0000
4 Rh 0.5000 0.5000 0.5000
5 N 0.0000 0.0000 0.5000

Results
ΔE_f (raw) = 1.532 eV/atom
DFT total energy = -0.1336 Ha/atom
magnetic moment = 0.370 μB/atom